The following is a DFT calculation (PBE) of a relaxed structure of Be2S2Cl.

Computed properties:
crystal system	tetragonal
formation energy (no corrections)	241	meV per atom
total magnetization	0.000	μB/f.u.
electronic total energy	-3.27	eV per atom
energy above the lowest structure with this stoichiometry	0.786	eV per atom

CIF file:
```
data_Be2S2Cl
_space_group_name_H-M_alt 'P 4/m b m'
_space_group_IT_number 127
_space_group_name_Hall '-P 4 2ab'
_cell_length_a 8.255
_cell_length_b 8.255
_cell_length_c 2.834
_cell_angle_alpha 90.00
_cell_angle_beta 90.00
_cell_angle_gamma 90.00
loop_
_atom_site_label
_atom_site_type_symbol
_atom_site_fract_x
_atom_site_fract_y
_atom_site_fract_z
Be1 Be 0.085 0.415 0.000
S1 S 0.122 0.622 0.500
Cl1 Cl 0.000 0.000 0.500
```